Record 1
Density functional theory data (PBE) for crystalline Pr3Y6Th at its relaxed geometry.

abc: 9.092 9.092 9.131
angles: 90.00 90.00 116.27
Sites, in units of the cell vectors:
Pr: 0.054 0.946 0.500
Pr: 0.182 0.311 0.316
Pr: 0.311 0.182 0.816
Pr: 0.689 0.818 0.316
Pr: 0.818 0.689 0.816
Pr: 0.946 0.054 0.000
Y: 0.028 0.327 0.641
Y: 0.175 0.472 0.981
Y: 0.283 0.717 0.374
Y: 0.327 0.028 0.141
Y: 0.448 0.552 0.635
Y: 0.472 0.175 0.481
Y: 0.528 0.825 0.981
Y: 0.552 0.448 0.135
Y: 0.673 0.972 0.641
Y: 0.717 0.283 0.874
Y: 0.825 0.528 0.481
Y: 0.972 0.673 0.141
Th: 0.226 0.774 0.738
Th: 0.774 0.226 0.238

Computed properties:
For the total magnetization, the calculation gives 0.00 μB/atom. The density of states at the Fermi level comes out at 27.6 states/eV/cell. The calculated formation energy is 0.14 eV/atom. As for the symmetry: Cmc2_1.

---

Record 2
Density functional theory data (PBE) for crystalline Pr6Y3Th2 at its relaxed geometry.

abc: 6.279 6.279 11.799
angles: 95.14 95.14 120.04
Sites, in units of the cell vectors:
Pr: 0.082 0.415 0.245
Pr: 0.251 0.251 0.755
Pr: 0.415 0.082 0.245
Pr: 0.585 0.918 0.755
Pr: 0.749 0.749 0.245
Pr: 0.918 0.585 0.755
Y: 0.166 0.834 0.500
Y: 0.500 0.500 0.500
Y: 0.834 0.166 0.500
Th: 0.333 0.667 0.000
Th: 0.667 0.333 0.000

Computed properties:
For the total magnetization, the calculation gives 0.00 μB/atom. The density of states at the Fermi level comes out at 17.3 states/eV/cell. The calculated formation energy is 0.22 eV/atom. As for the symmetry: C2/m.

---

Record 3
Density functional theory data (PBE) for crystalline Pr5Y8Th at its relaxed geometry.

abc: 8.598 8.598 8.598
angles: 111.17 111.17 106.11
Sites, in units of the cell vectors:
Pr: 0.000 0.000 0.000
Pr: 0.217 0.611 0.175
Pr: 0.389 0.564 0.606
Pr: 0.436 0.042 0.825
Pr: 0.958 0.783 0.394
Y: 0.080 0.673 0.760
Y: 0.171 0.275 0.750
Y: 0.327 0.088 0.407
Y: 0.525 0.421 0.250
Y: 0.579 0.829 0.104
Y: 0.681 0.920 0.593
Y: 0.725 0.475 0.896
Y: 0.912 0.319 0.240
Th: 0.750 0.250 0.500

Computed properties:
For the total magnetization, the calculation gives 0.06 μB/atom. The density of states at the Fermi level comes out at 21.8 states/eV/cell. The calculated formation energy is 0.25 eV/atom. As for the symmetry: I-4.

---

Record 4
Density functional theory data (PBE) for crystalline Pr2Y7Th3 at its relaxed geometry.

abc: 19.131 19.131 3.597
angles: 90.00 90.00 162.05
Sites, in units of the cell vectors:
Pr: 0.174 0.826 0.000
Pr: 0.826 0.174 0.000
Y: 0.000 0.000 0.000
Y: 0.088 0.912 0.500
Y: 0.273 0.727 0.000
Y: 0.426 0.574 0.000
Y: 0.574 0.426 0.000
Y: 0.727 0.273 0.000
Y: 0.912 0.088 0.500
Th: 0.350 0.650 0.500
Th: 0.500 0.500 0.500
Th: 0.650 0.350 0.500

Computed properties:
For the total magnetization, the calculation gives 0.00 μB/atom. The density of states at the Fermi level comes out at 19.5 states/eV/cell. The calculated formation energy is 0.18 eV/atom. As for the symmetry: Cmmm.

---

Record 5
Density functional theory data (PBE) for crystalline Pr2Y7Th2 at its relaxed geometry.

abc: 8.166 8.166 6.068
angles: 106.17 106.17 91.11
Sites, in units of the cell vectors:
Pr: 0.232 0.232 0.093
Pr: 0.768 0.768 0.907
Y: 0.000 0.000 0.500
Y: 0.063 0.593 0.334
Y: 0.407 0.937 0.666
Y: 0.409 0.409 0.698
Y: 0.591 0.591 0.302
Y: 0.593 0.063 0.334
Y: 0.937 0.407 0.666
Th: 0.214 0.786 0.000
Th: 0.786 0.214 0.000

Computed properties:
For the total magnetization, the calculation gives 0.00 μB/atom. The density of states at the Fermi level comes out at 17.2 states/eV/cell. The calculated formation energy is 0.19 eV/atom. As for the symmetry: C2/m.

---

Record 6
Density functional theory data (PBE) for crystalline PrY4Th5 at its relaxed geometry.

abc: 12.904 12.904 7.155
angles: 98.37 98.37 16.03
Sites, in units of the cell vectors:
Pr: 0.000 0.000 0.000
Y: 0.201 0.201 0.101
Y: 0.399 0.399 0.692
Y: 0.601 0.601 0.308
Y: 0.799 0.799 0.899
Th: 0.000 0.000 0.500
Th: 0.200 0.200 0.601
Th: 0.399 0.399 0.210
Th: 0.601 0.601 0.790
Th: 0.800 0.800 0.399

Computed properties:
For the total magnetization, the calculation gives 0.00 μB/atom. The density of states at the Fermi level comes out at 14.2 states/eV/cell. The calculated formation energy is 0.04 eV/atom. As for the symmetry: C2/m.

---

Record 7
Density functional theory data (PBE) for crystalline Pr7Y12Th at its relaxed geometry.

abc: 8.864 8.864 8.864
angles: 89.11 89.11 89.11
Sites, in units of the cell vectors:
Pr: 0.000 0.000 0.000
Pr: 0.120 0.454 0.339
Pr: 0.339 0.120 0.454
Pr: 0.454 0.339 0.120
Pr: 0.546 0.661 0.880
Pr: 0.661 0.880 0.546
Pr: 0.880 0.546 0.661
Y: 0.002 0.115 0.650
Y: 0.115 0.650 0.002
Y: 0.215 0.755 0.632
Y: 0.245 0.368 0.785
Y: 0.350 0.998 0.885
Y: 0.368 0.785 0.245
Y: 0.632 0.215 0.755
Y: 0.650 0.002 0.115
Y: 0.755 0.632 0.215
Y: 0.785 0.245 0.368
Y: 0.885 0.350 0.998
Y: 0.998 0.885 0.350
Th: 0.500 0.500 0.500

Computed properties:
For the total magnetization, the calculation gives 0.00 μB/atom. The density of states at the Fermi level comes out at 43.0 states/eV/cell. The calculated formation energy is 0.23 eV/atom. As for the symmetry: R-3.

---

Record 8
Density functional theory data (PBE) for crystalline PrY7Th3 at its relaxed geometry.

abc: 7.128 7.128 8.612
angles: 90.00 90.00 120.00
Sites, in units of the cell vectors:
Pr: 0.000 0.000 0.000
Y: 0.003 0.501 0.997
Y: 0.332 0.166 0.654
Y: 0.333 0.667 0.654
Y: 0.499 0.501 0.997
Y: 0.499 0.997 0.997
Y: 0.834 0.166 0.654
Y: 0.834 0.668 0.654
Th: 0.168 0.336 0.327
Th: 0.168 0.832 0.327
Th: 0.664 0.832 0.327

Computed properties:
For the total magnetization, the calculation gives 0.00 μB/atom. The density of states at the Fermi level comes out at 15.3 states/eV/cell. The calculated formation energy is 0.22 eV/atom. As for the symmetry: P3m1.

---

Record 9
Density functional theory data (PBE) for crystalline Pr2YTh4 at its relaxed geometry.

abc: 18.421 18.421 3.598
angles: 90.00 90.00 168.81
Sites, in units of the cell vectors:
Pr: 0.205 0.795 0.000
Pr: 0.795 0.205 0.000
Y: 0.500 0.500 0.500
Th: 0.070 0.930 0.000
Th: 0.364 0.636 0.500
Th: 0.636 0.364 0.500
Th: 0.930 0.070 0.000

Computed properties:
For the total magnetization, the calculation gives 0.00 μB/atom. The density of states at the Fermi level comes out at 11.0 states/eV/cell. The calculated formation energy is 0.07 eV/atom. As for the symmetry: Cmmm.

---

Record 10
Density functional theory data (PBE) for crystalline PrY3Th2 at its relaxed geometry.

abc: 8.010 8.010 7.152
angles: 102.11 102.11 25.97
Sites, in units of the cell vectors:
Pr: 0.000 0.000 0.000
Y: 0.000 0.000 0.500
Y: 0.329 0.329 0.170
Y: 0.671 0.671 0.830
Th: 0.332 0.332 0.660
Th: 0.668 0.668 0.340

Computed properties:
For the total magnetization, the calculation gives 0.00 μB/atom. The density of states at the Fermi level comes out at 8.5 states/eV/cell. The calculated formation energy is 0.04 eV/atom. As for the symmetry: C2/m.

---

Record 11
Density functional theory data (PBE) for crystalline Pr4Y3Th2 at its relaxed geometry.

abc: 10.177 10.177 6.249
angles: 96.35 96.35 72.15
Sites, in units of the cell vectors:
Pr: 0.086 0.811 0.983
Pr: 0.154 0.415 0.151
Pr: 0.189 0.914 0.517
Pr: 0.415 0.154 0.651
Pr: 0.585 0.846 0.349
Pr: 0.811 0.086 0.483
Pr: 0.846 0.585 0.849
Pr: 0.914 0.189 0.017
Y: 0.056 0.284 0.580
Y: 0.284 0.056 0.080
Y: 0.393 0.607 0.250
Y: 0.607 0.393 0.750
Y: 0.716 0.944 0.920
Y: 0.944 0.716 0.420
Th: 0.255 0.530 0.690
Th: 0.470 0.745 0.810
Th: 0.530 0.255 0.190
Th: 0.745 0.470 0.310

Computed properties:
For the total magnetization, the calculation gives 0.00 μB/atom. The density of states at the Fermi level comes out at 29.0 states/eV/cell. The calculated formation energy is 0.12 eV/atom. As for the symmetry: C2/c.

---

Record 12
Density functional theory data (PBE) for crystalline Pr12Y5Th2 at its relaxed geometry.

abc: 10.268 10.268 8.687
angles: 108.45 108.45 53.17
Sites, in units of the cell vectors:
Pr: 0.034 0.034 0.200
Pr: 0.118 0.586 0.041
Pr: 0.169 0.543 0.619
Pr: 0.414 0.882 0.959
Pr: 0.440 0.440 0.329
Pr: 0.457 0.831 0.381
Pr: 0.543 0.169 0.619
Pr: 0.560 0.560 0.671
Pr: 0.586 0.118 0.041
Pr: 0.831 0.457 0.381
Pr: 0.882 0.414 0.959
Pr: 0.966 0.966 0.800
Y: 0.195 0.195 0.686
Y: 0.238 0.238 0.255
Y: 0.500 0.500 0.000
Y: 0.762 0.762 0.745
Y: 0.805 0.805 0.314
Th: 0.171 0.829 0.500
Th: 0.829 0.171 0.500

Computed properties:
For the total magnetization, the calculation gives 0.00 μB/atom. The density of states at the Fermi level comes out at 27.6 states/eV/cell. The calculated formation energy is 0.23 eV/atom. As for the symmetry: C2/m.

---

> Among the records above, which one has the lowest density of states at the Fermi level?

PrY3Th2